The following is a DFT calculation (PBE-GGA) of a relaxed TlCS3 crystal.

Values from the calculation:
distance to the lowest polymorph of the same formula = 0.0 kJ/mol of formula units
total DFT energy (no corrections) = -3.732 eV per atom
total magnetic moment = 0.00 μB per formula unit
raw formation energy = 1.06 eV/atom

```
TlCS3
1.0
4.3347 0.0000 0.0000
0.0000 4.3347 0.0000
0.0000 0.0000 4.3347
Tl C S
1 1 3
Direct
0.0000 0.0000 0.0000 Tl
0.5000 0.5000 0.5000 C
0.0000 0.5000 0.5000 S
0.5000 0.0000 0.5000 S
0.5000 0.5000 0.0000 S
```